[1]
A plane-wave DFT calculation with PBE was carried out for an optimized crystal structure of Ce2NdDyAs4.

Density   7.00 g/cm³
ΔE_f   -1.4750 eV/atom

Lattice parameters (Å, degrees): 7.280 4.206 7.289 90.00 109.49 90.00
Space group P2/m (No. 10)
One atom of each set of equivalent atoms:
Ce: 0.000 0.000 0.000 x1
Ce: 0.000 0.500 0.500 x1
Nd: 0.500 0.000 0.500 x1
Dy: 0.500 0.500 0.000 x1
As: 0.247 0.500 0.244 x2
As: 0.251 0.000 0.755 x2


[2]
A plane-wave DFT calculation with PBE was carried out for an optimized crystal structure of AlZn2Se.

Polymorph energy (0 for the lowest one)   257 meV per atom
Density   5.40 g/cm³
Formation energy without anion corrections   0.12 eV/atom

Lattice parameters (Å, degrees): 10.287 3.003 5.204 90.00 115.08 90.00
Space group C2/m (No. 12)
One atom of each set of equivalent atoms:
Al: 0.000 0.000 0.000 x2
Zn: 0.247 0.500 0.239 x4
Se: 0.000 0.500 0.500 x2


| no. | total energy (Ry/atom) | V (Å³ per cell) | spin magnetization (μB per atom) |
| --- | --- | --- | --- |
| 1 | -0.47439 | 210.4 | 0.156 |
| 2 | -0.17113 | 145.6 | 0.000 |